Entry from Alexandria: an optimized crystal structure of Cs2Rb2Pt (PBE-GGA).

Structure (CIF):
```
data_Cs2Rb2Pt
_chemical_formula_sum 'Cs4 Rb4 Pt2'
_cell_length_a 8.977
_cell_length_b 8.977
_cell_length_c 8.051
_cell_angle_alpha 90.00
_cell_angle_beta 90.00
_cell_angle_gamma 90.00
_symmetry_space_group_name_H-M 'P 4/m b m'
_symmetry_Int_Tables_number 127
_symmetry_space_group_name_Hall '-P 4 2ab'
loop_
_atom_site_label
_atom_site_type_symbol
_atom_site_fract_x
_atom_site_fract_y
_atom_site_fract_z
_atom_site_occupancy
Cs1 Cs 0.169 0.331 0.000 1
Rb1 Rb 0.193 0.693 0.500 1
Pt1 Pt 0.000 0.000 0.000 1
```

total moment: 0.00 μB per cell
ΔH_f (0 K): 0.1719 eV per atom
final energy: -1.765 eV/atom